Here is a relaxed structure of TaAs3Au from Alexandria via LeMat-Bulk. Energies are from GGA-PBE.

**Magnetic moment**: 0.00 μB per formula unit
**Formation enthalpy at 0 K**: 1.321 eV per atom
**Energy**: -4.495 eV per atom
**Energy relative to the lowest polymorph listed for this composition**: 843 meV/atom

Unit cell a=4.8979 b=4.8979 c=4.8979 alpha=90.00 beta=90.00 gamma=90.00
Positions (direct):
As  0.0000  0.5000  0.0000
As  0.5000  0.0000  0.0000
As  0.0000  0.0000  0.5000
Ta  0.5000  0.5000  0.5000
Au  0.0000  0.0000  0.0000

Here is a relaxed structure of CrCdMo2 from Alexandria via LeMat-Bulk. Energies are from GGA-PBE.

**Magnetic moment**: 0.39 μB per formula unit
**Formation enthalpy at 0 K**: 0.564 eV per atom
**Energy**: -7.486 eV per atom

Unit cell a=4.8572 b=4.8572 c=5.1730 alpha=84.92 beta=84.92 gamma=31.63
Last column: magnetic moment on the atom in μB.
Positions (direct):
Mo  0.7518  0.7518  0.7590  -0.04
Mo  0.9965  0.9965  0.0028  -0.04
Cr  0.2493  0.2493  0.2449  0.46
Cd  0.5023  0.5023  0.4933  0.00

Here is a relaxed structure of LiH8Ir2 from Alexandria via LeMat-Bulk. Energies are from GGA-PBE.

**Magnetic moment**: 0.32 μB per formula unit
**Energy**: -4.107 eV per atom

Unit cell a=3.5253 b=5.7115 c=5.7115 alpha=65.84 beta=71.92 gamma=71.92
Last column: magnetic moment on the atom in μB.
Positions (direct):
Li  0.5000  0.0000  0.0000  0.01
H  0.1538  0.9897  0.7019  0.01
H  0.5000  0.7024  0.2976  0.00
H  0.8462  0.2981  0.0103  0.01
H  0.8620  0.6342  0.6342  0.01
H  0.5000  0.2976  0.7024  0.00
H  0.1380  0.3658  0.3658  0.01
H  0.8462  0.0103  0.2981  0.01
H  0.1538  0.7019  0.9897  0.01
Ir  0.0000  0.7180  0.2820  0.13
Ir  0.0000  0.2820  0.7180  0.13

Here is a relaxed structure of Pr12Sc3Pb5 from Alexandria via LeMat-Bulk. Energies are from GGA-PBE.

**Magnetic moment**: 4.94 μB per formula unit
**Formation enthalpy at 0 K**: 0.344 eV per atom
**Energy**: -4.400 eV per atom

Unit cell a=16.2584 b=16.2584 c=16.2584 alpha=109.47 beta=109.47 gamma=109.47
Last column: magnetic moment on the atom in μB.
Positions (direct):
Pb  0.5000  0.0000  0.0000  -0.03
Pb  0.5000  0.5000  0.0000  -0.03
Pb  0.5000  0.5000  0.5000  -0.03
Pb  0.2500  0.3750  0.6250  -0.03
Pb  0.0000  0.0000  0.5000  -0.03
Pb  0.6250  0.8750  0.2500  -0.03
Pb  0.7500  0.6250  0.3750  -0.03
Pb  0.0000  0.5000  0.5000  -0.03
Pb  0.5000  0.0000  0.5000  -0.03
Pb  0.1250  0.3750  0.2500  -0.03
Pb  0.1250  0.7500  0.3750  -0.03
Pb  0.2500  0.8750  0.1250  -0.03
Pb  0.0000  0.0000  0.0000  -0.03
Pb  0.8750  0.2500  0.6250  -0.03
Pb  0.7500  0.1250  0.8750  -0.03
Pb  0.3750  0.2500  0.1250  -0.03
Pb  0.6250  0.7500  0.8750  -0.03
Pb  0.0000  0.5000  0.0000  -0.03
Pb  0.8750  0.6250  0.7500  -0.03
Pb  0.3750  0.1250  0.7500  -0.03
Pr  0.5565  0.3310  0.9309  0.12
Pr  0.8744  0.2745  0.4435  0.12
Pr  0.6256  0.0565  0.2255  0.12
Pr  0.0691  0.9001  0.1256  0.12
Pr  0.7745  0.3310  0.9001  0.12
Pr  0.9435  0.5691  0.1690  0.12
Pr  0.2255  0.5565  0.6256  0.12
Pr  0.4309  0.3744  0.5999  0.12
Pr  0.3310  0.7745  0.4001  0.12
Pr  0.5691  0.9435  0.6690  0.12
Pr  0.0691  0.1690  0.4435  0.12
Pr  0.9309  0.8310  0.5565  0.12
Pr  0.9309  0.0999  0.8744  0.12
Pr  0.7745  0.4435  0.3744  0.12
Pr  0.4001  0.1256  0.5691  0.12
Pr  0.4435  0.7745  0.8744  0.12
Pr  0.2255  0.6690  0.0999  0.12
Pr  0.3744  0.4309  0.0999  0.12
Pr  0.4435  0.6690  0.0691  0.12
Pr  0.6690  0.4435  0.5691  0.12
Pr  0.1256  0.4001  0.0691  0.12
Pr  0.0565  0.6256  0.7255  0.12
Pr  0.7255  0.5999  0.1690  0.12
Pr  0.8744  0.5999  0.9309  0.12
Pr  0.4001  0.2745  0.3310  0.12
Pr  0.3310  0.5565  0.4309  0.12
Pr  0.1690  0.0691  0.9435  0.12
Pr  0.6690  0.2255  0.5999  0.12
Pr  0.0999  0.9309  0.3744  0.12
Pr  0.1690  0.0999  0.7255  0.12
Pr  0.6256  0.5691  0.9001  0.12
Pr  0.8310  0.9309  0.0565  0.12
Pr  0.2745  0.8744  0.9435  0.12
Pr  0.7255  0.1256  0.0565  0.12
Pr  0.5999  0.8744  0.4309  0.12
Pr  0.4309  0.0565  0.3310  0.12
Pr  0.5999  0.7255  0.6690  0.12
Pr  0.9001  0.0691  0.6256  0.12
Pr  0.5691  0.6256  0.4001  0.12
Pr  0.1256  0.7255  0.5565  0.12
Pr  0.2745  0.4001  0.8310  0.12
Pr  0.5565  0.2255  0.1256  0.12
Pr  0.0565  0.4309  0.8310  0.12
Pr  0.8310  0.9001  0.2745  0.12
Pr  0.9001  0.8310  0.7745  0.12
Pr  0.0999  0.1690  0.2255  0.12
Pr  0.3744  0.9435  0.7745  0.12
Pr  0.9435  0.3744  0.2745  0.12
Sc  0.7500  0.3750  0.1250  0.40
Sc  0.2500  0.1250  0.3750  0.40
Sc  0.3750  0.7500  0.6250  0.40
Sc  0.2500  0.6250  0.8750  0.40
Sc  0.3750  0.6250  0.2500  0.40
Sc  0.1250  0.8750  0.7500  0.40
Sc  0.8750  0.7500  0.1250  0.40
Sc  0.6250  0.3750  0.7500  0.40
Sc  0.1250  0.2500  0.8750  0.40
Sc  0.6250  0.2500  0.3750  0.40
Sc  0.7500  0.8750  0.6250  0.40
Sc  0.8750  0.1250  0.2500  0.40

Here is a relaxed structure of PmDyY4 from Alexandria via LeMat-Bulk. Energies are from GGA-PBE.

**Magnetic moment**: 0.00 μB per formula unit
**Formation enthalpy at 0 K**: 0.747 eV per atom
**Energy**: -5.121 eV per atom
**Energy relative to the lowest polymorph listed for this composition**: 679 meV/atom

Unit cell a=5.4429 b=5.4429 c=7.8030 alpha=90.00 beta=90.00 gamma=90.00
Positions (direct):
Dy  0.4973  0.5013  0.0019
Y  0.9973  0.5013  0.2479
Y  0.4973  0.0013  0.2479
Y  0.4973  0.0013  0.7558
Y  0.9973  0.5013  0.7558
Pm  0.9973  0.0013  0.5019

Here is a relaxed structure of RbInPd3 from Alexandria via LeMat-Bulk. Energies are from GGA-PBE.

**Magnetic moment**: 0.00 μB per formula unit
**Formation enthalpy at 0 K**: 1.191 eV per atom
**Energy**: -2.666 eV per atom
**Energy relative to the lowest polymorph listed for this composition**: 952 meV/atom

Unit cell a=5.1884 b=5.1884 c=5.1884 alpha=90.00 beta=90.00 gamma=90.00
Positions (direct):
In  0.5000  0.5000  0.5000
Pd  0.5000  0.0000  0.0000
Pd  0.0000  0.5000  0.0000
Pd  0.0000  0.0000  0.5000
Rb  0.0000  0.0000  0.0000